Entry from Alexandria via LeMat-Bulk: crystalline LaPrTe2 at its relaxed geometry (PBE).

Computed properties:
* relative energy among the computed polymorphs: 113.4 meV/atom
* raw formation energy: -1.410 eV per atom
* energy: -0.397 Ry/atom
* magnetization: 0.3 μB per cell

a b c (Å): 5.543 5.543 5.543
angles (deg): 60.00 60.00 60.00
Last column: magnetic moment on the atom in μB.
Fractional coordinates of all 4 atoms:
Pr  0.000  0.000  0.000  0.08
Te  0.250  0.250  0.250  -0.01
Te  0.750  0.750  0.750  -0.01
La  0.500  0.500  0.500  0.07